[1]
This record from Alexandria describes crystalline CaTaBi2 at its relaxed geometry. The functional is GGA-PBE.

Formation energy: 0.144 eV per atom
Energy: -21.04 eV per cell
Polymorph energy (0 for the lowest one): 0.00 kJ per mole of atoms

a b c (Å): 5.2574 5.2574 5.2574
angles (deg): 60.00 60.00 60.00
Atoms (fractional coordinates):
Ca (0.0000, 0.0000, 0.0000)
Ta (0.5000, 0.5000, 0.5000)
Bi (0.2500, 0.2500, 0.2500)
Bi (0.7500, 0.7500, 0.7500)

[2]
This record from Alexandria describes crystalline Ca3TaBi at its relaxed geometry. The functional is GGA-PBE.

Formation energy: 0.840 eV per atom
Energy: -17.54 eV per cell
Polymorph energy (0 for the lowest one): 2.53 kJ per mole of atoms

a b c (Å): 5.5893 5.5893 5.5893
angles (deg): 90.00 90.00 90.00
Atoms (fractional coordinates):
Ca (0.0000, 0.0000, 0.5000)
Ca (0.0000, 0.5000, 0.0000)
Ca (0.5000, 0.0000, 0.0000)
Ta (0.0000, 0.0000, 0.0000)
Bi (0.5000, 0.5000, 0.5000)

> Which formula does entry 1 have?

CaTaBi2